DFT (PBE) results for an optimized crystal structure of LaPaGa2. Values from VASP.

The structure in Quantum ESPRESSO input format:
```
&SYSTEM
  ibrav = 0, nat = 4, ntyp = 3
/
ATOMIC_SPECIES
Pa 231.04 Pa.upf
Ga 69.72 Ga.upf
La 138.91 La.upf
ATOMIC_POSITIONS crystal
Pa 0.0000 0.0000 0.0000
Ga 0.2500 0.2500 0.2500
Ga 0.7500 0.7500 0.7500
La 0.5000 0.5000 0.5000
CELL_PARAMETERS angstrom
5.1793 0.0000 0.0000
2.5896 4.4854 0.0000
2.5896 1.4951 4.2289
```

Computed properties:
- Size of the total moment: 1.22 μB/cell
- DOS at the Fermi energy: 6.7 states/eV/f.u.
- Formation energy from the elements: -0.947 eV per formula unit

***

DFT (PBE) results for an optimized crystal structure of LaPa2Ga. Values from VASP.

The structure in Quantum ESPRESSO input format:
```
&SYSTEM
  ibrav = 0, nat = 4, ntyp = 3
/
ATOMIC_SPECIES
Pa 231.04 Pa.upf
Ga 69.72 Ga.upf
La 138.91 La.upf
ATOMIC_POSITIONS crystal
Pa 0.0000 0.0000 0.5000
Pa 0.0000 0.5000 0.0000
Ga 0.5000 0.5000 0.5000
La 0.5000 0.0000 0.0000
CELL_PARAMETERS angstrom
4.9493 0.0000 0.0000
0.0000 4.4925 0.0000
0.0000 0.0000 4.4925
```

Computed properties:
- Size of the total moment: 0.00 μB/cell
- DOS at the Fermi energy: 8.4 states/eV/f.u.
- Formation energy from the elements: 0.074 eV per formula unit

***

> Number 1 is which compound?

LaPaGa2

***

> What is the DOS at the Fermi energy in the second record?

8.4 states/eV/f.u.

***

> Number 2 is which compound?

LaPa2Ga